No. 1
A relaxed structure of BeBiW3, computed with GGA-PBE.

## Properties
crystal system: cubic
magnetic moment: 0.0 μB/cell
formation enthalpy at 0 K: 1154 meV per atom
calculated total energy: -40.696 eV/cell
distance to the lowest polymorph of the same formula: 0.000 eV/atom

Lattice parameters (Å, degrees): 4.383 4.383 4.383 90.00 90.00 90.00
Fractional positions:
W: 0.000 0.000 0.500
W: 0.000 0.500 0.000
W: 0.500 0.000 0.000
Be: 0.000 0.000 0.000
Bi: 0.500 0.500 0.500

No. 2
A relaxed structure of Y4GaSb, computed with GGA-PBE.

## Properties
crystal system: monoclinic
magnetic moment: 0.0 μB/cell
calculated total energy: -73.100 eV/cell

Lattice parameters (Å, degrees): 6.207 8.262 8.148 113.95 104.27 105.37
Fractional positions:
Y: 0.968 0.783 0.154
Y: 0.780 0.705 0.633
Y: 0.032 0.217 0.846
Y: 0.314 0.629 0.846
Y: 0.686 0.371 0.154
Y: 0.647 0.071 0.367
Y: 0.353 0.929 0.633
Y: 0.220 0.295 0.367
Ga: 0.250 0.000 0.000
Ga: 0.750 0.000 0.000
Sb: 0.629 0.379 0.757
Sb: 0.371 0.621 0.243

No. 3
A relaxed structure of Ga2As2Ru, computed with GGA-PBE.

## Properties
crystal system: tetragonal
magnetic moment: 0.0 μB/cell
formation enthalpy at 0 K: 285 meV per atom
calculated total energy: -46.406 eV/cell
distance to the lowest polymorph of the same formula: 0.000 eV/atom

Lattice parameters (Å, degrees): 6.835 6.835 3.675 90.00 90.00 90.00
Fractional positions:
Ru: 0.000 0.000 0.000
Ru: 0.500 0.500 0.000
Ga: 0.134 0.366 0.000
Ga: 0.866 0.634 0.000
Ga: 0.634 0.134 0.000
Ga: 0.366 0.866 0.000
As: 0.682 0.818 0.500
As: 0.318 0.182 0.500
As: 0.182 0.682 0.500
As: 0.818 0.318 0.500

No. 4
A relaxed structure of Cs5H, computed with GGA-PBE.

## Properties
crystal system: orthorhombic
magnetic moment: 0.0 μB/cell
calculated total energy: -7.154 eV/cell
distance to the lowest polymorph of the same formula: 0.078 eV/atom

Lattice parameters (Å, degrees): 8.689 4.780 14.648 99.39 90.00 90.00
Fractional positions:
Cs: 0.000 0.574 0.147
Cs: 0.500 0.168 0.337
Cs: 0.500 0.500 0.000
Cs: 0.000 0.426 0.853
Cs: 0.500 0.832 0.663
H: 0.000 0.000 0.000

No. 5
A relaxed structure of CdRhCl2, computed with GGA-PBE.

## Properties
crystal system: tetragonal
magnetic moment: 1.5 μB/cell
calculated total energy: -12.504 eV/cell
distance to the lowest polymorph of the same formula: 0.227 eV/atom

Lattice parameters (Å, degrees): 3.224 3.224 8.162 90.00 90.00 90.00
Fractional positions:
Cd: 0.500 0.500 0.734
Rh: 0.000 0.000 0.497
Cl: 0.000 0.000 0.932
Cl: 0.500 0.500 0.337

No. 6
A relaxed structure of Cs2Rb5Na, computed with GGA-PBE.

## Properties
crystal system: tetragonal
magnetic moment: 0.0 μB/cell
formation enthalpy at 0 K: 21 meV per atom
calculated total energy: -7.694 eV/cell
distance to the lowest polymorph of the same formula: 0.000 eV/atom

Lattice parameters (Å, degrees): 7.244 7.244 14.438 104.53 104.53 90.00
Fractional positions:
Na: 0.000 0.000 0.000
Cs: 0.751 0.751 0.502
Cs: 0.249 0.249 0.498
Rb: 0.108 0.608 0.216
Rb: 0.892 0.392 0.784
Rb: 0.608 0.108 0.216
Rb: 0.392 0.892 0.784
Rb: 0.500 0.500 0.000

Please write out number 2 again, unchanged.
A relaxed structure of Y4GaSb, computed with GGA-PBE.

## Properties
crystal system: monoclinic
magnetic moment: 0.0 μB/cell
calculated total energy: -73.100 eV/cell

Lattice parameters (Å, degrees): 6.207 8.262 8.148 113.95 104.27 105.37
Fractional positions:
Y: 0.968 0.783 0.154
Y: 0.780 0.705 0.633
Y: 0.032 0.217 0.846
Y: 0.314 0.629 0.846
Y: 0.686 0.371 0.154
Y: 0.647 0.071 0.367
Y: 0.353 0.929 0.633
Y: 0.220 0.295 0.367
Ga: 0.250 0.000 0.000
Ga: 0.750 0.000 0.000
Sb: 0.629 0.379 0.757
Sb: 0.371 0.621 0.243

> Which value of calculated total energy does entry 3 give?

-46.406 eV/cell